## ScRh (PBE)

Data for a relaxed ScRh crystal.

Summary:
Total DFT energy (no corrections) in eV/atom: -7.4697
ΔH_f (0 K) in eV per atom: -0.628
M_tot in Bohr magnetons per cell: 0.00
Calculated density in g cm⁻³: 7.0

Geometry as CIF:
```
data_ScRh
_chemical_formula_sum 'Sc2 Rh2'
_space_group_name_H-M_alt 'P 63/m m c'
_space_group_IT_number 194
_space_group_name_Hall '-P 6c 2c'
_cell_length_a 3.1963
_cell_length_b 3.1963
_cell_length_c 7.9851
_cell_angle_alpha 90.00
_cell_angle_beta 90.00
_cell_angle_gamma 120.00
loop_
_atom_site_label
_atom_site_type_symbol
_atom_site_fract_x
_atom_site_fract_y
_atom_site_fract_z
Sc1 Sc 0.0000 0.0000 0.0000
Rh1 Rh 0.3333 0.6667 0.2500
```